[1]
HfInAu (PBE, relaxed); theoretical density = 13.309 g/cm³; volume = 61.17 Å³/f.u.; formation energy = -301.3 meV per atom; calculated total energy = -5.62 eV/atom
1.0
4.530 0.000 0.000
0.000 4.427 0.000
-2.257 0.000 6.101
Hf In Au
2 2 2
direct
0.095 0.250 0.190 Hf
0.905 0.750 0.810 Hf
0.412 0.250 0.824 In
0.588 0.750 0.176 In
0.257 0.750 0.514 Au
0.743 0.250 0.486 Au

[2]
TiNbCrSn (PBE, relaxed); theoretical density = 7.803 g/cm³; volume = 66.29 Å³/f.u.; formation energy = -22.2 meV per atom; calculated total energy = -7.92 eV/atom
1.0
6.424 0.000 0.000
0.000 6.424 0.000
0.000 0.000 6.424
Ti Nb Cr Sn
4 4 4 4
direct
0.000 0.000 0.000 Ti
0.000 0.500 0.500 Ti
0.500 0.000 0.500 Ti
0.500 0.500 0.000 Ti
0.250 0.250 0.250 Nb
0.250 0.750 0.750 Nb
0.750 0.250 0.750 Nb
0.750 0.750 0.250 Nb
0.000 0.000 0.500 Cr
0.000 0.500 0.000 Cr
0.500 0.000 0.000 Cr
0.500 0.500 0.500 Cr
0.250 0.250 0.750 Sn
0.250 0.750 0.250 Sn
0.750 0.250 0.250 Sn
0.750 0.750 0.750 Sn

[3]
TlTeCl2 (PBE, relaxed); theoretical density = 4.721 g/cm³; E_form (uncorrected) = -0.31 eV/atom; volume = 141.72 Å³/f.u.; E above lowest polymorph = 154 meV per atom; calculated total energy = -2.61 eV/atom
1.0
4.001 0.000 0.000
0.000 4.001 0.000
0.000 0.000 8.854
Tl Te Cl
1 1 2
direct
0.000 0.000 0.000 Tl
0.500 0.500 0.591 Te
0.000 0.000 0.556 Cl
0.500 0.500 0.134 Cl

[4]
Cu4SeI3 (PBE, relaxed); theoretical density = 5.164 g/cm³; E_form (uncorrected) = -0.05 eV/atom; volume = 229.56 Å³/f.u.; calculated total energy = -3.11 eV/atom
1.0
7.311 0.000 0.000
0.000 8.004 0.000
0.000 0.000 7.847
Cu Se I
8 2 6
direct
0.000 0.170 0.000 Cu
0.000 0.830 0.000 Cu
0.182 0.500 0.803 Cu
0.318 0.000 0.303 Cu
0.500 0.330 0.500 Cu
0.500 0.670 0.500 Cu
0.682 0.000 0.303 Cu
0.818 0.500 0.803 Cu
0.000 0.000 0.237 Se
0.500 0.500 0.737 Se
0.000 0.236 0.684 I
0.000 0.500 0.113 I
0.000 0.764 0.684 I
0.500 0.000 0.613 I
0.500 0.264 0.184 I
0.500 0.736 0.184 I